4
Lattice="-2.058 2.058 4.057 2.058 -2.058 4.057 2.058 2.058 -4.057" Properties=species:S:1:pos:R:3 comment="ScRhAu2, relaxed, DFT PBE" magnetic_moment_mub_per_cell=0.00 e_tot_ev_per_atom=-5.69 formation_enthalpy_0k_ev_per_atom=-0.629 mass_density_kg_m3=13092 pbc="T T T"
Sc 0.000 0.000 0.000
Rh 2.058 0.000 2.029
Au 0.000 0.000 4.057
Au 0.000 2.058 2.029

***

12
Lattice="3.121 -5.404 0.000 3.121 5.404 0.000 -2.075 0.000 11.727" Properties=species:S:1:pos:R:3 comment="TbPm2Sm6Ho3, relaxed, DFT PBE" magnetic_moment_mub_per_cell=0.00 e_tot_ev_per_atom=-4.67 formation_enthalpy_0k_ev_per_atom=0.015 mass_density_kg_m3=7749 pbc="T T T"
Tb 0.000 0.000 0.000
Pm 3.121 1.801 0.000
Pm 3.121 -1.801 0.000
Sm 1.040 1.798 2.964
Sm 0.001 0.000 8.761
Sm 1.040 -1.798 2.964
Sm 3.127 1.798 8.764
Sm 4.165 0.000 2.966
Sm 3.127 -1.798 8.764
Ho 2.083 3.604 5.864
Ho 2.083 0.000 5.864
Ho 2.083 -3.604 5.864

***

20
Lattice="9.262 0.000 0.000 0.000 7.857 0.000 -3.963 0.000 7.910" Properties=species:S:1:pos:R:3 comment="PrScSe3, relaxed, DFT PBE" magnetic_moment_mub_per_cell=0.00 e_tot_ev_per_atom=-6.04 mass_density_kg_m3=4878 e_form_raw_ev_per_atom=-1.73 pbc="T T T"
Pr 0.845 1.707 0.415
Pr -1.137 2.221 4.370
Pr 6.436 5.636 3.541
Pr 4.454 6.150 7.496
Sc -0.754 4.891 7.220
Sc 1.227 6.895 3.265
Sc 4.072 0.962 4.646
Sc 6.053 2.966 0.690
Se -3.119 4.016 6.260
Se -1.138 7.770 2.304
Se -0.054 5.113 4.763
Se 1.928 6.673 0.808
Se 1.728 1.613 3.509
Se -0.254 2.315 7.464
Se 5.553 5.542 0.446
Se 3.571 6.244 4.402
Se 3.371 1.184 7.103
Se 5.353 2.744 3.148
Se 6.437 0.087 5.606
Se 8.418 3.842 1.651

***

Repeat the first record exactly.
4
Lattice="-2.058 2.058 4.057 2.058 -2.058 4.057 2.058 2.058 -4.057" Properties=species:S:1:pos:R:3 comment="ScRhAu2, relaxed, DFT PBE" magnetic_moment_mub_per_cell=0.00 e_tot_ev_per_atom=-5.69 formation_enthalpy_0k_ev_per_atom=-0.629 mass_density_kg_m3=13092 pbc="T T T"
Sc 0.000 0.000 0.000
Rh 2.058 0.000 2.029
Au 0.000 0.000 4.057
Au 0.000 2.058 2.029